1.
# LaTmCu2Si2 | the Open Quantum Materials Database | PBE | relaxed
# M_tot, μB per formula unit: 0.01
# Energy, eV/cell: -31.60
data_LaTmCu2Si2
_cell_length_a 4.1816
_cell_length_b 4.1816
_cell_length_c 7.7235
_cell_angle_alpha 90.00
_cell_angle_beta 90.00
_cell_angle_gamma 120.00
_space_group_name_H-M_alt 'P -3 m 1'
_space_group_IT_number 164
_space_group_name_Hall '-P 3 2"'
loop_
_atom_site_label
_atom_site_type_symbol
_atom_site_fract_x
_atom_site_fract_y
_atom_site_fract_z
La1 La 0.0000 0.0000 0.0000
Tm1 Tm 0.0000 0.0000 0.5000
Cu1 Cu 0.3333 0.6667 0.2776
Si1 Si 0.3333 0.6667 0.7322

=====

2.
# PaCuAu | the Open Quantum Materials Database | PBE | relaxed
# ΔE to the lowest computed polymorph, eV/atom: 0.000
# M_tot, μB per formula unit: 0.83
# Energy, eV/cell: -65.07
data_PaCuAu
_cell_length_a 6.3456
_cell_length_b 6.3456
_cell_length_c 6.3456
_cell_angle_alpha 90.00
_cell_angle_beta 90.00
_cell_angle_gamma 90.00
_space_group_name_H-M_alt 'F -4 3 m'
_space_group_IT_number 216
_space_group_name_Hall 'F -4 2 3'
loop_
_atom_site_label
_atom_site_type_symbol
_atom_site_fract_x
_atom_site_fract_y
_atom_site_fract_z
Pa1 Pa 0.0000 0.0000 0.0000
Cu1 Cu 0.2500 0.2500 0.7500
Au1 Au 0.0000 0.0000 0.5000